First-principles (PBE) data for an optimized crystal structure of Nd3Dy2Ho6Tm, as listed in Alexandria.

Structure (CIF):
```
data_Nd3Dy2Ho6Tm
_cell_length_a 6.1785
_cell_length_b 10.6951
_cell_length_c 11.7780
_cell_angle_alpha 90.00
_cell_angle_beta 100.04
_cell_angle_gamma 90.00
_space_group_name_H-M_alt 'C 1 2/m 1'
_space_group_IT_number 12
loop_
_space_group_symop_operation_xyz
'x,y,z'
'-x,-y,-z'
'-x,y,-z'
'x,-y,z'
'x+1/2,y+1/2,z'
'-x+1/2,-y+1/2,-z'
'-x+1/2,y+1/2,-z'
'x+1/2,-y+1/2,z'
loop_
_atom_site_label
_atom_site_fract_x
_atom_site_fract_y
_atom_site_fract_z
Nd1 0.0000 0.0000 0.0000
Nd2 0.0000 0.3334 0.0000
Dy1 0.0000 0.1666 0.5000
Ho1 0.2484 0.3335 0.7459
Ho2 0.2490 0.0000 0.7460
Tm1 0.0000 0.5000 0.5000
```

Total magnetic moment (μB/cell): 0.00
Final energy (eV per atom): -4.601

=====

First-principles (PBE) data for an optimized crystal structure of CaNbI2O, as listed in Alexandria.

Structure (CIF):
```
data_CaNbI2O
_cell_length_a 5.8890
_cell_length_b 5.8890
_cell_length_c 3.9588
_cell_angle_alpha 90.00
_cell_angle_beta 90.00
_cell_angle_gamma 90.00
_space_group_name_H-M_alt 'P 4/m m m'
_space_group_IT_number 123
_space_group_name_Hall '-P 4 2'
loop_
_atom_site_label
_atom_site_fract_x
_atom_site_fract_y
_atom_site_fract_z
Ca1 0.0000 0.0000 0.0000
Nb1 0.5000 0.5000 0.5000
I1 0.0000 0.5000 0.5000
O1 0.5000 0.5000 0.0000
```

Energy relative to the elements, uncorrected (meV/atom): -942
Total magnetic moment (μB/cell): 1.45
Offset from the most stable computed form (meV/atom): 0

=====

First-principles (PBE) data for an optimized crystal structure of LaCrIr2Au, as listed in Alexandria.

Structure (CIF):
```
data_LaCrIr2Au
_cell_length_a 4.9106
_cell_length_b 4.9106
_cell_length_c 5.1103
_cell_angle_alpha 90.00
_cell_angle_beta 90.00
_cell_angle_gamma 90.00
_space_group_name_H-M_alt 'P 4/m m m'
_space_group_IT_number 123
_space_group_name_Hall '-P 4 2'
loop_
_atom_site_label
_atom_site_fract_x
_atom_site_fract_y
_atom_site_fract_z
La1 0.0000 0.0000 0.0000
Cr1 0.0000 0.0000 0.5000
Ir1 0.0000 0.5000 0.0000
Au1 0.5000 0.5000 0.5000
```

Total magnetic moment (μB/cell): 4.61
Final energy (eV per atom): -5.292

=====

First-principles (PBE) data for an optimized crystal structure of AcCd2P2Pt7, as listed in Alexandria.

Structure (CIF):
```
data_AcCd2P2Pt7
_cell_length_a 5.7286
_cell_length_b 5.7283
_cell_length_c 14.9437
_cell_angle_alpha 90.00
_cell_angle_beta 101.01
_cell_angle_gamma 90.00
_space_group_name_H-M_alt 'C 1 2/m 1'
_space_group_IT_number 12
loop_
_space_group_symop_operation_xyz
'x,y,z'
'-x,-y,-z'
'-x,y,-z'
'x,-y,z'
'x+1/2,y+1/2,z'
'-x+1/2,-y+1/2,-z'
'-x+1/2,y+1/2,-z'
'x+1/2,-y+1/2,z'
loop_
_atom_site_label
_atom_site_fract_x
_atom_site_fract_y
_atom_site_fract_z
Ac1 0.0000 0.0000 0.0000
Cd1 0.2010 0.0000 0.4062
P1 0.1258 0.5000 0.2527
Pt1 0.0000 0.5000 0.0000
Pt2 0.1659 0.2502 0.8301
Pt3 0.2005 0.5000 0.4042
```

Total magnetic moment (μB/cell): 0.00
Final energy (eV per atom): -5.370

=====

First-principles (PBE) data for an optimized crystal structure of HfAl2Ga, as listed in Alexandria.

Structure (CIF):
```
data_HfAl2Ga
_cell_length_a 4.2954
_cell_length_b 4.2954
_cell_length_c 13.7440
_cell_angle_alpha 90.00
_cell_angle_beta 90.00
_cell_angle_gamma 120.00
_space_group_name_H-M_alt 'R -3 m'
_space_group_IT_number 166
_space_group_name_Hall '-R 3 2"'
loop_
_atom_site_label
_atom_site_fract_x
_atom_site_fract_y
_atom_site_fract_z
Hf1 0.0000 0.0000 0.0000
Al1 0.0000 0.0000 0.2214
Ga1 0.0000 0.0000 0.5000
```

Total magnetic moment (μB/cell): 0.00
Final energy (eV per atom): -5.101

=====

First-principles (PBE) data for an optimized crystal structure of Ni3GeI, as listed in Alexandria.

Structure (CIF):
```
data_Ni3GeI
_cell_length_a 4.4872
_cell_length_b 4.4872
_cell_length_c 4.4872
_cell_angle_alpha 90.00
_cell_angle_beta 90.00
_cell_angle_gamma 90.00
_space_group_name_H-M_alt 'P m -3 m'
_space_group_IT_number 221
_space_group_name_Hall '-P 4 2 3'
loop_
_atom_site_label
_atom_site_fract_x
_atom_site_fract_y
_atom_site_fract_z
Ni1 0.0000 0.0000 0.5000
Ge1 0.0000 0.0000 0.0000
I1 0.5000 0.5000 0.5000
```

Energy relative to the elements, uncorrected (meV/atom): 625
Total magnetic moment (μB/cell): 0.00
Offset from the most stable computed form (meV/atom): 0

=====

First-principles (PBE) data for an optimized crystal structure of CeAl2Pd9, as listed in Alexandria.

Structure (CIF):
```
data_CeAl2Pd9
_cell_length_a 4.0355
_cell_length_b 4.0355
_cell_length_c 11.7323
_cell_angle_alpha 90.00
_cell_angle_beta 90.00
_cell_angle_gamma 90.00
_space_group_name_H-M_alt 'P 4/m m m'
_space_group_IT_number 123
_space_group_name_Hall '-P 4 2'
loop_
_atom_site_label
_atom_site_fract_x
_atom_site_fract_y
_atom_site_fract_z
Ce1 0.0000 0.0000 0.0000
Al1 0.0000 0.0000 0.3459
Pd1 0.0000 0.5000 0.1797
Pd2 0.0000 0.5000 0.5000
Pd3 0.5000 0.5000 0.0000
Pd4 0.5000 0.5000 0.3390
```

Total magnetic moment (μB/cell): 0.00
Final energy (eV per atom): -5.689

=====

First-principles (PBE) data for an optimized crystal structure of TbPm4Sm7, as listed in Alexandria.

Structure (CIF):
```
data_TbPm4Sm7
_cell_length_a 16.3483
_cell_length_b 6.0171
_cell_length_c 9.3764
_cell_angle_alpha 90.00
_cell_angle_beta 116.08
_cell_angle_gamma 90.00
_space_group_name_H-M_alt 'C 1 2/m 1'
_space_group_IT_number 12
loop_
_space_group_symop_operation_xyz
'x,y,z'
'-x,-y,-z'
'-x,y,-z'
'x,-y,z'
'x+1/2,y+1/2,z'
'-x+1/2,-y+1/2,-z'
'-x+1/2,y+1/2,-z'
'x+1/2,-y+1/2,z'
loop_
_atom_site_label
_atom_site_fract_x
_atom_site_fract_y
_atom_site_fract_z
Tb1 0.0000 0.0000 0.0000
Pm1 0.0746 0.5000 0.7002
Pm2 0.1736 0.5000 0.3886
Sm1 0.0000 0.5000 0.0000
Sm2 0.0812 0.0000 0.4384
Sm3 0.2075 0.0000 0.2257
Sm4 0.2116 0.0000 0.8772
```

Total magnetic moment (μB/cell): 0.12
Offset from the most stable computed form (meV/atom): 206